1.
Rb3Cu2AuI6 after structural relaxation. Source: Alexandria, functional PBE-GGA.

Lattice parameters (Å, degrees): 8.4929 8.4929 9.4879 90.00 90.00 120.00
Closest atoms and distances in Å follow each position.
Positions (direct):
I (0.1621, 0.3243, 0.2958)  1 Cu 2.52
I (0.8379, 0.6757, 0.7042)  1 Cu 2.52
Rb (0.6667, 0.3333, 0.3548)  1 Cu 3.45
I (0.8379, 0.1621, 0.7042)  1 Cu 2.52
Rb (0.0000, 0.0000, 0.0000)  6 I 3.68
Rb (0.3333, 0.6667, 0.6452)  1 Cu 3.45
Cu (0.3333, 0.6667, 0.2821)  3 I 2.52
Cu (0.6667, 0.3333, 0.7179)  3 I 2.52
I (0.3243, 0.1621, 0.7042)  1 Cu 2.52
I (0.1621, 0.8379, 0.2958)  1 Cu 2.52
I (0.6757, 0.8379, 0.2958)  1 Cu 2.52
Au (0.0000, 0.0000, 0.5000)  6 I 3.07

Results
As for the crystal system: trigonal. The total energy comes out at -31.83 eV per cell. The calculation puts the energy relative to the elements, uncorrected at -679 meV per atom. The density of states at the Fermi level is 0.005 states/eV/atom. The value obtained for the density is 3760 kg/m3.

---

2.
RbCuAuI5 after structural relaxation. Source: Alexandria, functional PBE-GGA.

Lattice parameters (Å, degrees): 8.5855 8.5855 9.7381 99.65 99.65 99.32
Closest atoms and distances in Å follow each position.
Positions (direct):
Rb (0.3877, 0.6123, 0.2500)  5 I 3.66-3.92
I (0.7738, 0.5548, 0.4393)  1 Cu 2.54
I (0.2948, 0.9480, 0.6155)  1 Cu 2.67, 1 Au 2.73
Rb (0.6123, 0.3877, 0.7500)  5 I 3.66-3.92
I (0.9480, 0.2948, 0.1155)  1 Cu 2.67, 1 Au 2.73
I (0.0948, 0.9052, 0.2500)  2 Au 2.73
I (0.7052, 0.0520, 0.3845)  1 Cu 2.67, 1 Au 2.73
I (0.4452, 0.2262, 0.0607)  1 Cu 2.54
I (0.0520, 0.7052, 0.8845)  1 Cu 2.67, 1 Au 2.73
I (0.9052, 0.0948, 0.7500)  2 Au 2.73
I (0.5548, 0.7738, 0.9393)  1 Cu 2.54
I (0.2262, 0.4452, 0.5607)  1 Cu 2.54
Cu (0.2984, 0.7016, 0.7500)  4 I 2.54-2.67
Au (0.0000, 0.0000, 0.5000)  4 I 2.73
Cu (0.7016, 0.2984, 0.2500)  4 I 2.54-2.67
Au (0.0000, 0.0000, 0.0000)  4 I 2.73

Results
As for the crystal system: monoclinic. The total energy comes out at -38.70 eV per cell. The calculation puts the energy relative to the elements, uncorrected at -407 meV per atom. The density of states at the Fermi level is 1.036 states/eV/atom. The value obtained for the density is 4760 kg/m3.

---

3.
CuReAu2I after structural relaxation. Source: Alexandria, functional PBE-GGA.

Lattice parameters (Å, degrees): 4.7706 4.6731 4.7706 90.00 90.00 90.00
Closest atoms and distances in Å follow each position.
Positions (direct):
I (0.5000, 0.5000, 0.5000)  8 Au 3.34, 4 Re 3.37
Re (0.0000, 0.5000, 0.0000)  2 Cu 2.34
Au (0.0000, 0.0000, 0.5000)  2 Cu 2.39
Cu (0.0000, 0.0000, 0.0000)  2 Re 2.34, 4 Au 2.39
Au (0.5000, 0.0000, 0.0000)  2 Cu 2.39

Results
As for the crystal system: tetragonal. The total energy comes out at -18.22 eV per cell. The calculation puts the energy relative to the elements, uncorrected at 1286 meV per atom. The density of states at the Fermi level is 0.440 states/eV/atom. The value obtained for the density is 12032 kg/m3.

---

4.
CuRuAu2I after structural relaxation. Source: Alexandria, functional PBE-GGA.

Lattice parameters (Å, degrees): 4.8405 4.7550 4.8405 90.00 90.00 90.00
Closest atoms and distances in Å follow each position.
Positions (direct):
Ru (0.0000, 0.5000, 0.0000)  2 Cu 2.38
Au (0.5000, 0.0000, 0.0000)  2 Cu 2.42
Au (0.0000, 0.0000, 0.5000)  2 Cu 2.42
Cu (0.0000, 0.0000, 0.0000)  2 Ru 2.38, 4 Au 2.42
I (0.5000, 0.5000, 0.5000)  8 Au 3.39, 4 Ru 3.42

Results
As for the crystal system: tetragonal. The total energy comes out at -16.68 eV per cell. The calculation puts the energy relative to the elements, uncorrected at 960 meV per atom. The density of states at the Fermi level is 0.686 states/eV/atom. The value obtained for the density is 10216 kg/m3.

---

5.
CuSbAuI2 after structural relaxation. Source: Alexandria, functional PBE-GGA.

Lattice parameters (Å, degrees): 5.3712 5.3712 5.1215 90.00 90.00 90.00
Closest atoms and distances in Å follow each position.
Positions (direct):
Au (0.5000, 0.5000, 0.5000)  8 I 3.71, 4 Sb 3.80
I (0.5000, 0.0000, 0.0000)  2 Cu 2.69
I (0.0000, 0.5000, 0.0000)  2 Cu 2.69
Sb (0.0000, 0.0000, 0.5000)  2 Cu 2.56
Cu (0.0000, 0.0000, 0.0000)  2 Sb 2.56, 4 I 2.69

Results
As for the crystal system: tetragonal. The total energy comes out at -11.60 eV per cell. The calculation puts the energy relative to the elements, uncorrected at 599 meV per atom. The density of states at the Fermi level is 0.915 states/eV/atom. The value obtained for the polymorph energy (0 for the lowest one) is 0 meV per atom. The value obtained for the density is 7149 kg/m3.

---

6.
ScCuAu2I after structural relaxation. Source: Alexandria, functional PBE-GGA.

Lattice parameters (Å, degrees): 4.8709 5.0412 4.8709 90.00 90.00 90.00
Closest atoms and distances in Å follow each position.
Positions (direct):
Sc (0.0000, 0.5000, 0.0000)  2 Cu 2.52
Cu (0.0000, 0.0000, 0.0000)  4 Au 2.44, 2 Sc 2.52
I (0.5000, 0.5000, 0.5000)  4 Sc 3.44, 8 Au 3.50
Au (0.0000, 0.0000, 0.5000)  2 Cu 2.44
Au (0.5000, 0.0000, 0.0000)  2 Cu 2.44

Results
As for the crystal system: tetragonal. The total energy comes out at -17.89 eV per cell. The calculation puts the energy relative to the elements, uncorrected at 129 meV per atom. The density of states at the Fermi level is 0.635 states/eV/atom. The value obtained for the density is 8737 kg/m3.

---

7.
CuSiAu2I after structural relaxation. Source: Alexandria, functional PBE-GGA.

Lattice parameters (Å, degrees): 4.8774 5.1681 4.8774 90.00 90.00 90.00
Closest atoms and distances in Å follow each position.
Positions (direct):
Cu (0.0000, 0.0000, 0.0000)  4 Au 2.44, 2 I 2.58
Au (0.0000, 0.0000, 0.5000)  2 Cu 2.44
Si (0.5000, 0.5000, 0.5000)  4 I 3.45, 8 Au 3.55
I (0.0000, 0.5000, 0.0000)  2 Cu 2.58
Au (0.5000, 0.0000, 0.0000)  2 Cu 2.44

Results
As for the crystal system: tetragonal. The total energy comes out at -13.45 eV per cell. The calculation puts the energy relative to the elements, uncorrected at 835 meV per atom. The density of states at the Fermi level is 0.622 states/eV/atom. The value obtained for the polymorph energy (0 for the lowest one) is 0 meV per atom. The value obtained for the density is 8272 kg/m3.

---

8.
CuSiAu2I after structural relaxation. Source: Alexandria, functional PBE-GGA.

Lattice parameters (Å, degrees): 5.2624 5.5930 5.2624 90.00 90.00 90.00
Closest atoms and distances in Å follow each position.
Positions (direct):
Cu (0.5000, 0.5000, 0.5000)  4 Si 3.72, 8 Au 3.84
Au (0.0000, 0.0000, 0.5000)  2 I 2.63
I (0.0000, 0.0000, 0.0000)  4 Au 2.63, 2 Si 2.80
Si (0.0000, 0.5000, 0.0000)  2 I 2.80
Au (0.5000, 0.0000, 0.0000)  2 I 2.63

Results
As for the crystal system: tetragonal. The total energy comes out at -10.50 eV per cell. The calculation puts the energy relative to the elements, uncorrected at 1425 meV per atom. The density of states at the Fermi level is 0.437 states/eV/atom. The value obtained for the polymorph energy (0 for the lowest one) is 590 meV per atom. The value obtained for the density is 6566 kg/m3.

---

9.
TaCu2AuI after structural relaxation. Source: Alexandria, functional PBE-GGA.

Lattice parameters (Å, degrees): 4.8154 5.1154 4.8154 90.00 90.00 90.00
Closest atoms and distances in Å follow each position.
Positions (direct):
Ta (0.0000, 0.5000, 0.0000)  2 Au 2.56
Cu (0.0000, 0.0000, 0.5000)  2 Au 2.41
I (0.5000, 0.5000, 0.5000)  4 Ta 3.40, 8 Cu 3.51
Cu (0.5000, 0.0000, 0.0000)  2 Au 2.41
Au (0.0000, 0.0000, 0.0000)  4 Cu 2.41, 2 Ta 2.56

Results
As for the crystal system: tetragonal. The total energy comes out at -19.73 eV per cell. The calculation puts the energy relative to the elements, uncorrected at 1028 meV per atom. The density of states at the Fermi level is 0.768 states/eV/atom. The value obtained for the density is 8846 kg/m3.

---

10.
CuTe2AuI after structural relaxation. Source: Alexandria, functional PBE-GGA.

Lattice parameters (Å, degrees): 5.1866 5.1866 5.2796 90.00 90.00 90.00
Closest atoms and distances in Å follow each position.
Positions (direct):
I (0.0000, 0.0000, 0.5000)  2 Cu 2.64
Au (0.5000, 0.5000, 0.5000)  4 I 3.67, 8 Te 3.70
Te (0.5000, 0.0000, 0.0000)  2 Cu 2.59
Cu (0.0000, 0.0000, 0.0000)  4 Te 2.59, 2 I 2.64
Te (0.0000, 0.5000, 0.0000)  2 Cu 2.59

Results
As for the crystal system: tetragonal. The total energy comes out at -12.10 eV per cell. The calculation puts the energy relative to the elements, uncorrected at 622 meV per atom. The density of states at the Fermi level is 1.371 states/eV/atom. The value obtained for the polymorph energy (0 for the lowest one) is 0 meV per atom. The value obtained for the density is 7513 kg/m3.

---

Repeat the eighth record exactly.
CuSiAu2I after structural relaxation. Source: Alexandria, functional PBE-GGA.

Lattice parameters (Å, degrees): 5.2624 5.5930 5.2624 90.00 90.00 90.00
Closest atoms and distances in Å follow each position.
Positions (direct):
Cu (0.5000, 0.5000, 0.5000)  4 Si 3.72, 8 Au 3.84
Au (0.0000, 0.0000, 0.5000)  2 I 2.63
I (0.0000, 0.0000, 0.0000)  4 Au 2.63, 2 Si 2.80
Si (0.0000, 0.5000, 0.0000)  2 I 2.80
Au (0.5000, 0.0000, 0.0000)  2 I 2.63

Results
As for the crystal system: tetragonal. The total energy comes out at -10.50 eV per cell. The calculation puts the energy relative to the elements, uncorrected at 1425 meV per atom. The density of states at the Fermi level is 0.437 states/eV/atom. The value obtained for the polymorph energy (0 for the lowest one) is 590 meV per atom. The value obtained for the density is 6566 kg/m3.

---

Q: Which of these has the lowest density?
A: Rb3Cu2AuI6

---

Q: The highest energy relative to the elements, uncorrected belongs to which entry?
A: number 8

---

Q: Which of these has the highest energy relative to the elements, uncorrected?
A: number 8